# Ag2PtW

Ag2PtW after structural relaxation (GGA-PBE, the Alexandria database).

POSCAR file:
```
Ag2PtW
1.0
2.8215 0.0132 0.0000
-0.0120 2.8215 0.0000
0.0000 0.0000 8.3824
Ag W Pt
2 1 1
Direct
0.0000 0.0000 0.9945
0.5000 0.5000 0.2550
0.5000 0.5000 0.7351
0.0000 0.0000 0.5154
```

- Energy above the most stable polymorph in this dataset: 0.00 kJ/mol of atoms
- DFT formation energy: 0.116 eV/atom
- Calculated total energy: -6.059 eV/atom

---

# InOsAu2

InOsAu2 after structural relaxation (GGA-PBE, the Alexandria database).

POSCAR file:
```
InOsAu2
1.0
9.7314 0.0053 0.0031
9.2860 2.9105 0.0031
9.2860 1.4238 2.5385
Au Os In
2 1 1
Direct
0.0039 0.0039 0.0039
0.4961 0.4961 0.4961
0.7500 0.7500 0.7500
0.2500 0.2500 0.2500
```

- DFT formation energy: 0.496 eV/atom
- Calculated total energy: -4.635 eV/atom